Version A
{
  "formula": "MgRePO",
  "functional": "GGA-PBE",
  "state": "relaxed",
  "space_group": "No. 26",
  "magnetic_moment_mub_per_atom": 0.00,
  "cell": [[3.0889, 0.0000, 0.0000], [0.0000, 6.2451, 0.0000], [0.0000, 0.0000, 5.8494]],
  "species": ["Mg", "Mg", "O", "O", "P", "P", "Re", "Re"],
  "fractional_positions": [[0.0000, 0.1048, 0.4570], [0.0000, 0.8952, 0.9570], [0.5000, 0.2515, 0.3423], [0.5000, 0.7485, 0.8423], [0.0000, 0.7010, 0.3574], [0.0000, 0.2990, 0.8574], [0.5000, 0.4968, 0.0973], [0.5000, 0.5032, 0.5973]]
}

Version B
{
  "formula": "MgRePO",
  "functional": "GGA-PBE",
  "state": "relaxed",
  "space_group": "No. 129",
  "magnetic_moment_mub_per_atom": 0.02,
  "cell": [[-2.0444, -2.8213, 0.8149], [1.5083, -1.8607, -2.6582], [5.6043, -2.6140, 5.0097]],
  "species": ["Mg", "Mg", "O", "O", "P", "P", "Re", "Re"],
  "fractional_positions": [[0.5000, 0.0000, 0.5000], [0.0000, 0.5000, 0.5000], [0.5000, 0.0000, 0.0000], [0.0000, 0.5000, 0.0000], [0.5000, 0.5000, 0.2722], [0.0000, 0.0000, 0.7278], [0.0000, 0.0000, 0.1623], [0.5000, 0.5000, 0.8377]]
}

Relative energies in kJ/mol of atoms: version A 0.0; version B 90.4

Version A
{
  "formula": "MgRePO",
  "functional": "GGA-PBE",
  "state": "relaxed",
  "space_group": "No. 129",
  "magnetic_moment_mub_per_atom": 0.01,
  "cell": [[3.8899, 0.0000, 0.0000], [0.0000, 3.8899, 0.0000], [0.0000, 0.0000, 8.7688]],
  "species": ["Mg", "Mg", "O", "O", "P", "P", "Re", "Re"],
  "fractional_positions": [[0.0000, 0.5000, 0.0046], [0.5000, 0.0000, 0.9954], [0.0000, 0.0000, 0.0000], [0.5000, 0.5000, 0.0000], [0.5000, 0.0000, 0.3329], [0.0000, 0.5000, 0.6671], [0.0000, 0.0000, 0.5000], [0.5000, 0.5000, 0.5000]]
}

Version B
{
  "formula": "MgRePO",
  "functional": "GGA-PBE",
  "state": "relaxed",
  "space_group": "No. 26",
  "magnetic_moment_mub_per_atom": 0.00,
  "cell": [[4.0629, 0.0000, 0.0000], [0.0000, 4.5940, 0.0000], [0.0000, 0.0000, 5.7311]],
  "species": ["Mg", "Mg", "O", "O", "P", "P", "Re", "Re"],
  "fractional_positions": [[0.5000, 0.2053, 0.0977], [0.5000, 0.7947, 0.5977], [0.5000, 0.3933, 0.4283], [0.5000, 0.6067, 0.9283], [0.0000, 0.8757, 0.2954], [0.0000, 0.1243, 0.7954], [0.0000, 0.3820, 0.4326], [0.0000, 0.6180, 0.9326]]
}

Relative energies in kJ/mol of atoms: version A 0.0; version B 23.0

Version A
{
  "formula": "Mg2Pa2O5",
  "functional": "GGA-PBE",
  "state": "relaxed",
  "space_group": "No. 123",
  "magnetic_moment_mub_per_atom": 0.22,
  "cell": [[7.1410, 0.0000, 0.0000], [0.0000, 3.8843, 0.0000], [0.0000, 0.0000, 3.8843]],
  "species": ["Mg", "Mg", "O", "O", "O", "O", "O", "Pa", "Pa"],
  "fractional_positions": [[0.2305, 0.5000, 0.5000], [0.7695, 0.5000, 0.5000], [0.2378, 0.5000, 0.0000], [0.7622, 0.5000, 0.0000], [0.2378, 0.0000, 0.5000], [0.7622, 0.0000, 0.5000], [0.5000, 0.5000, 0.5000], [0.0000, 0.0000, 0.0000], [0.5000, 0.0000, 0.0000]]
}

Version B
{
  "formula": "Mg2Pa2O5",
  "functional": "GGA-PBE",
  "state": "relaxed",
  "space_group": "No. 123",
  "magnetic_moment_mub_per_atom": 0.00,
  "cell": [[-2.4145, -5.5886, -5.6272], [-2.2883, -1.9591, 2.9276], [-3.3033, 2.4059, -0.9720]],
  "species": ["Mg", "Mg", "O", "O", "O", "O", "O", "Pa", "Pa"],
  "fractional_positions": [[0.0000, 0.0000, 0.0000], [0.5000, 0.0000, 0.0000], [0.3112, 0.5000, 0.0000], [0.6888, 0.5000, 0.0000], [0.3112, 0.0000, 0.5000], [0.6888, 0.0000, 0.5000], [0.5000, 0.5000, 0.5000], [0.2420, 0.5000, 0.5000], [0.7580, 0.5000, 0.5000]]
}

Relative energies in kJ/mol of atoms: version A 0.0; version B 27.3

Version A
{
  "formula": "MgTcPb2O6",
  "functional": "GGA-PBE",
  "state": "relaxed",
  "space_group": "No. 12",
  "magnetic_moment_mub_per_atom": 0.03,
  "cell": [[-1.4300, -5.1437, 1.6903], [-0.0815, -4.2281, -3.6709], [4.8857, 2.2148, 1.6071]],
  "species": ["Mg", "O", "O", "O", "O", "O", "O", "Pb", "Pb", "Tc"],
  "fractional_positions": [[0.5000, 0.5000, 0.5000], [0.7569, 0.2418, 0.2421], [0.2418, 0.7569, 0.2421], [0.2426, 0.2426, 0.2433], [0.7574, 0.7574, 0.7567], [0.7582, 0.2431, 0.7579], [0.2431, 0.7582, 0.7579], [0.7501, 0.7501, 0.2498], [0.2499, 0.2499, 0.7502], [0.0000, 0.0000, 0.0000]]
}

Version B
{
  "formula": "MgTcPb2O6",
  "functional": "GGA-PBE",
  "state": "relaxed",
  "space_group": "No. 87",
  "magnetic_moment_mub_per_atom": 0.09,
  "cell": [[2.3566, -4.4201, 2.5787], [-4.9311, -1.5186, 2.2625], [0.5345, 0.7366, -5.5599]],
  "species": ["Mg", "O", "O", "O", "O", "O", "O", "Pb", "Pb", "Tc"],
  "fractional_positions": [[0.5000, 0.5000, 0.0000], [0.2412, 0.2412, 0.0000], [0.7588, 0.7588, 0.0000], [0.2888, 0.8064, 0.0952], [0.1936, 0.2888, 0.4824], [0.8064, 0.7112, 0.5176], [0.7112, 0.1936, 0.9048], [0.7500, 0.2500, 0.5000], [0.2500, 0.7500, 0.5000], [0.0000, 0.0000, 0.0000]]
}

Relative energies in kJ/mol of atoms: version A 1.3; version B 0.0

Version A
{
  "formula": "MgPdSO",
  "functional": "GGA-PBE",
  "state": "relaxed",
  "space_group": "No. 19",
  "cell": [[-2.3282, -1.8049, -5.1161], [7.3691, 1.3585, -3.8327], [1.5996, -5.3781, 1.1693]],
  "species": ["Mg", "Mg", "Mg", "Mg", "O", "O", "O", "O", "Pd", "Pd", "Pd", "Pd", "S", "S", "S", "S"],
  "fractional_positions": [[0.1992, 0.5992, 0.0612], [0.8008, 0.0992, 0.4388], [0.3008, 0.4008, 0.5612], [0.6992, 0.9008, 0.9388], [0.7077, 0.0986, 0.1125], [0.2923, 0.5986, 0.3875], [0.7923, 0.9014, 0.6125], [0.2077, 0.4014, 0.8875], [0.4535, 0.2457, 0.0023], [0.5465, 0.7457, 0.4977], [0.0465, 0.7543, 0.5023], [0.9535, 0.2543, 0.9977], [0.8026, 0.6790, 0.1906], [0.1974, 0.1790, 0.3094], [0.6974, 0.3210, 0.6906], [0.3026, 0.8210, 0.8094]]
}

Version B
{
  "formula": "MgPdSO",
  "functional": "GGA-PBE",
  "state": "relaxed",
  "space_group": "No. 129",
  "cell": [[3.5097, 0.0000, 0.0000], [0.0000, 3.5097, 0.0000], [0.0000, 0.0000, 11.1691]],
  "species": ["Mg", "Mg", "O", "O", "Pd", "Pd", "S", "S"],
  "fractional_positions": [[0.7500, 0.7500, 0.4147], [0.2500, 0.2500, 0.5853], [0.2500, 0.2500, 0.4105], [0.7500, 0.7500, 0.5895], [0.7500, 0.2500, 0.0000], [0.2500, 0.7500, 0.0000], [0.2500, 0.2500, 0.1519], [0.7500, 0.7500, 0.8481]]
}

Relative energies in kJ/mol of atoms: version A 0.0; version B 41.0

Version A
{
  "formula": "MgPdSO",
  "functional": "GGA-PBE",
  "state": "relaxed",
  "space_group": "No. 61",
  "cell": [[-2.4261, -5.8144, 2.8795], [7.7097, -0.4796, 5.5270], [-3.3233, 3.8478, 4.9696]],
  "species": ["Mg", "Mg", "Mg", "Mg", "Mg", "Mg", "Mg", "Mg", "O", "O", "O", "O", "O", "O", "O", "O", "Pd", "Pd", "Pd", "Pd", "Pd", "Pd", "Pd", "Pd", "S", "S", "S", "S", "S", "S", "S", "S"],
  "fractional_positions": [[0.7509, 0.0461, 0.0048], [0.7491, 0.5461, 0.0048], [0.2509, 0.0461, 0.4952], [0.2491, 0.5461, 0.4952], [0.7509, 0.4539, 0.5048], [0.7491, 0.9539, 0.5048], [0.2509, 0.4539, 0.9952], [0.2491, 0.9539, 0.9952], [0.7507, 0.2482, 0.0898], [0.7493, 0.7482, 0.0898], [0.2507, 0.2482, 0.4102], [0.2493, 0.7482, 0.4102], [0.7507, 0.2518, 0.5898], [0.7493, 0.7518, 0.5898], [0.2507, 0.2518, 0.9102], [0.2493, 0.7518, 0.9102], [0.5005, 0.2473, 0.2497], [0.9995, 0.7473, 0.2497], [0.0005, 0.2473, 0.2503], [0.4995, 0.7473, 0.2503], [0.5005, 0.2527, 0.7497], [0.9995, 0.7527, 0.7497], [0.0005, 0.2527, 0.7503], [0.4995, 0.7527, 0.7503], [0.9997, 0.4958, 0.2494], [0.5003, 0.9958, 0.2494], [0.4997, 0.4958, 0.2506], [0.0003, 0.9958, 0.2506], [0.9997, 0.0042, 0.7494], [0.5003, 0.5042, 0.7494], [0.4997, 0.0042, 0.7506], [0.0003, 0.5042, 0.7506]]
}

Version B
{
  "formula": "MgPdSO",
  "functional": "GGA-PBE",
  "state": "relaxed",
  "space_group": "No. 61",
  "cell": [[6.0809, 0.0000, 0.0000], [0.0000, 12.7519, 0.0000], [0.0000, 0.0000, 6.5563]],
  "species": ["Mg", "Mg", "Mg", "Mg", "Mg", "Mg", "Mg", "Mg", "O", "O", "O", "O", "O", "O", "O", "O", "Pd", "Pd", "Pd", "Pd", "Pd", "Pd", "Pd", "Pd", "S", "S", "S", "S", "S", "S", "S", "S"],
  "fractional_positions": [[0.0437, 0.2392, 0.1377], [0.4563, 0.7392, 0.1377], [0.5437, 0.2392, 0.3623], [0.9563, 0.7392, 0.3623], [0.0437, 0.2608, 0.6377], [0.4563, 0.7608, 0.6377], [0.5437, 0.2608, 0.8623], [0.9563, 0.7608, 0.8623], [0.7199, 0.2437, 0.1118], [0.7801, 0.7437, 0.1118], [0.2199, 0.2437, 0.3882], [0.2801, 0.7437, 0.3882], [0.7199, 0.2563, 0.6118], [0.7801, 0.7563, 0.6118], [0.2199, 0.2563, 0.8882], [0.2801, 0.7563, 0.8882], [0.2456, 0.4392, 0.0079], [0.2544, 0.9392, 0.0079], [0.7456, 0.4392, 0.4921], [0.7544, 0.9392, 0.4921], [0.2456, 0.0608, 0.5079], [0.2544, 0.5608, 0.5079], [0.7456, 0.0608, 0.9921], [0.7544, 0.5608, 0.9921], [0.0012, 0.0040, 0.2454], [0.4988, 0.5040, 0.2454], [0.5012, 0.0040, 0.2546], [0.9988, 0.5040, 0.2546], [0.0012, 0.4960, 0.7454], [0.4988, 0.9960, 0.7454], [0.5012, 0.4960, 0.7546], [0.9988, 0.9960, 0.7546]]
}

Relative energies in kJ/mol of atoms: version A 22.3; version B 0.0

Version A
{
  "formula": "MgPdSO",
  "functional": "GGA-PBE",
  "state": "relaxed",
  "space_group": "No. 129",
  "cell": [[-2.9071, -0.0191, 2.6058], [0.8845, -3.6794, 0.9599], [5.8055, 3.0913, 6.4995]],
  "species": ["Mg", "Mg", "O", "O", "Pd", "Pd", "S", "S"],
  "fractional_positions": [[0.7500, 0.7500, 0.1271], [0.2500, 0.2500, 0.8729], [0.7500, 0.2500, 0.5000], [0.2500, 0.7500, 0.5000], [0.2500, 0.2500, 0.4332], [0.7500, 0.7500, 0.5668], [0.2500, 0.2500, 0.1414], [0.7500, 0.7500, 0.8586]]
}

Version B
{
  "formula": "MgPdSO",
  "functional": "GGA-PBE",
  "state": "relaxed",
  "space_group": "No. 29",
  "cell": [[-4.2464, -3.0909, 1.0085], [4.4738, -4.3089, 5.6305], [-1.5207, 3.3100, 3.7414]],
  "species": ["Mg", "Mg", "Mg", "Mg", "O", "O", "O", "O", "Pd", "Pd", "Pd", "Pd", "S", "S", "S", "S"],
  "fractional_positions": [[0.5984, 0.9059, 0.4667], [0.0984, 0.0941, 0.4667], [0.4016, 0.0941, 0.9667], [0.9016, 0.9059, 0.9667], [0.5632, 0.9060, 0.0988], [0.0632, 0.0940, 0.0988], [0.4368, 0.0940, 0.5988], [0.9368, 0.9060, 0.5988], [0.0041, 0.3531, 0.0854], [0.5042, 0.6469, 0.0854], [0.4958, 0.3531, 0.5854], [0.9959, 0.6469, 0.5854], [0.5173, 0.3674, 0.0991], [0.0174, 0.6326, 0.0991], [0.4827, 0.6326, 0.5991], [0.9826, 0.3674, 0.5991]]
}

Version C
{
  "formula": "MgPdSO",
  "functional": "GGA-PBE",
  "state": "relaxed",
  "space_group": "No. 186",
  "cell": [[-2.7034, -0.7515, -2.3491], [0.5947, -2.2701, -2.8084], [-2.9983, -8.3649, 6.1267]],
  "species": ["Mg", "Mg", "O", "O", "Pd", "Pd", "S", "S"],
  "fractional_positions": [[0.0000, 0.0000, 0.4987], [0.0000, 0.0000, 0.9987], [0.0000, 0.0000, 0.3228], [0.0000, 0.0000, 0.8228], [0.6667, 0.6667, 0.2445], [0.3333, 0.3333, 0.7445], [0.3333, 0.3334, 0.1217], [0.6667, 0.6666, 0.6217]]
}

Version D
{
  "formula": "MgPdSO",
  "functional": "GGA-PBE",
  "state": "relaxed",
  "space_group": "No. 36",
  "cell": [[-5.9389, -1.0319, -1.3567], [-5.4591, -2.3029, 1.7522], [-1.4373, 5.1904, 2.3437]],
  "species": ["Mg", "Mg", "O", "O", "Pd", "Pd", "S", "S"],
  "fractional_positions": [[0.7008, 0.7008, 0.4852], [0.2992, 0.2992, 0.9852], [0.8779, 0.8779, 0.0483], [0.1221, 0.1221, 0.5483], [0.9963, 0.9963, 0.3035], [0.0037, 0.0037, 0.8035], [0.6253, 0.6253, 0.0555], [0.3747, 0.3747, 0.5555]]
}

Relative energies in kJ/mol of atoms: version A 60.2; version B 0.0; version C 45.9; version D 25.0

Version A
{
  "formula": "MgPdSO",
  "functional": "GGA-PBE",
  "state": "relaxed",
  "space_group": "No. 29",
  "cell": [[6.8082, 0.0000, 0.0000], [0.0000, 6.5954, 0.0000], [0.0000, 0.0000, 5.8631]],
  "species": ["Mg", "Mg", "Mg", "Mg", "O", "O", "O", "O", "Pd", "Pd", "Pd", "Pd", "S", "S", "S", "S"],
  "fractional_positions": [[0.8976, 0.3815, 0.0695], [0.3976, 0.6185, 0.0695], [0.6024, 0.3815, 0.5695], [0.1024, 0.6185, 0.5695], [0.0960, 0.1852, 0.1438], [0.5960, 0.8148, 0.1438], [0.4040, 0.1852, 0.6438], [0.9040, 0.8148, 0.6438], [0.9951, 0.0043, 0.3926], [0.4951, 0.9957, 0.3926], [0.5049, 0.0043, 0.8926], [0.0049, 0.9957, 0.8926], [0.5575, 0.2935, 0.1441], [0.0575, 0.7065, 0.1441], [0.9425, 0.2935, 0.6441], [0.4425, 0.7065, 0.6441]]
}

Version B
{
  "formula": "MgPdSO",
  "functional": "GGA-PBE",
  "state": "relaxed",
  "space_group": "No. 62",
  "cell": [[-2.6240, -2.1534, 0.5243], [3.7389, -4.5485, 0.0310], [1.2816, 1.1289, 11.0514]],
  "species": ["Mg", "Mg", "Mg", "Mg", "O", "O", "O", "O", "Pd", "Pd", "Pd", "Pd", "S", "S", "S", "S"],
  "fractional_positions": [[0.7500, 0.3052, 0.0217], [0.7500, 0.8052, 0.4783], [0.2500, 0.1948, 0.5217], [0.2500, 0.6948, 0.9783], [0.2500, 0.4109, 0.0868], [0.2500, 0.9109, 0.4132], [0.7500, 0.0891, 0.5868], [0.7500, 0.5891, 0.9132], [0.2500, 0.6694, 0.2442], [0.2500, 0.1694, 0.2558], [0.7500, 0.8306, 0.7442], [0.7500, 0.3306, 0.7558], [0.7500, 0.9235, 0.1534], [0.7500, 0.4235, 0.3466], [0.2500, 0.5765, 0.6534], [0.2500, 0.0765, 0.8466]]
}

Relative energies in kJ/mol of atoms: version A 19.9; version B 0.0